The following is a DFT calculation (PBE) of LiRePt after structural relaxation.

Properties
For the energy of formation from the pure elements, the calculation gives -173 meV per atom. As for the total DFT energy (no corrections): -6.97 eV/atom. The volume comes out at 14.4 Å³ per atom.

abc: 2.7221 3.9872 7.9899
angles: 90.00 94.62 90.00
Closest atoms and distances in Å follow each position.
Space group P2_1/m (No. 11)
One atom of each set of equivalent atoms:
Li (0.2179, 0.2500, 0.2687)  5 Pt 2.59-2.67, 2 Li 2.72, 3 Re 2.74-2.83
Re (0.2889, 0.2500, 0.9284)  4 Re 2.53-2.72, 1 Pt 2.59, 3 Li 2.74-2.83
Pt (0.2703, 0.2500, 0.6037)  1 Re 2.59, 5 Li 2.59-2.67, 2 Pt 2.72